# 1
A relaxed structure of LaW2Cl, computed with PBE-GGA.

The structure in CIF format:
```
data_LaW2Cl
_cell_length_a 6.812
_cell_length_b 6.812
_cell_length_c 6.812
_cell_angle_alpha 90.00
_cell_angle_beta 90.00
_cell_angle_gamma 90.00
_symmetry_space_group_name_H-M 'F -4 3 m'
_symmetry_Int_Tables_number 216
_symmetry_space_group_name_Hall 'F -4 2 3'
loop_
_atom_site_label
_atom_site_fract_x
_atom_site_fract_y
_atom_site_fract_z
_atom_site_occupancy
La1 0.000 0.000 0.000 1
W1 0.000 0.000 0.500 1
W2 0.250 0.250 0.250 1
Cl1 0.250 0.250 0.750 1
```

Properties
spin magnetization = 0.00 μB/f.u.
raw formation energy = 782 meV/atom



# 2
A relaxed structure of SrNdIn4, computed with PBE-GGA.

The structure in CIF format:
```
data_SrNdIn4
_cell_length_a 8.750
_cell_length_b 8.750
_cell_length_c 8.750
_cell_angle_alpha 90.00
_cell_angle_beta 90.00
_cell_angle_gamma 90.00
_symmetry_space_group_name_H-M 'F -4 3 m'
_symmetry_Int_Tables_number 216
_symmetry_space_group_name_Hall 'F -4 2 3'
loop_
_atom_site_label
_atom_site_fract_x
_atom_site_fract_y
_atom_site_fract_z
_atom_site_occupancy
Sr1 0.000 0.000 0.000 1
Nd1 0.250 0.250 0.750 1
In1 0.125 0.125 0.375 1
```

Properties
spin magnetization = 0.00 μB/f.u.
ΔE_f = -2.3 eV per formula unit



# 3
A relaxed structure of NdHo5Er2Th, computed with PBE-GGA.

The structure in CIF format:
```
data_NdHo5Er2Th
_cell_length_a 5.705
_cell_length_b 21.202
_cell_length_c 9.684
_cell_angle_alpha 90.00
_cell_angle_beta 90.00
_cell_angle_gamma 90.00
_symmetry_space_group_name_H-M 'C m c 21'
_symmetry_Int_Tables_number 36
loop_
_symmetry_equiv_pos_as_xyz
'x,y,z'
'-x,-y,z+1/2'
'-x,y,z'
'x,-y,z+1/2'
'x+1/2,y+1/2,z'
'-x+1/2,-y+1/2,z+1/2'
'-x+1/2,y+1/2,z'
'x+1/2,-y+1/2,z+1/2'
loop_
_atom_site_label
_atom_site_fract_x
_atom_site_fract_y
_atom_site_fract_z
_atom_site_occupancy
Nd1 0.000 0.096 0.000 1
Ho1 0.000 0.029 0.319 1
Ho2 0.000 0.107 0.613 1
Ho3 0.000 0.194 0.293 1
Ho4 0.000 0.233 0.913 1
Ho5 0.000 0.486 0.593 1
Er1 0.000 0.366 0.283 1
Er2 0.000 0.388 0.900 1
Th1 0.000 0.309 0.601 1
```

Properties
spin magnetization = 0.00 μB/f.u.
ΔE_f = 1.5 eV per formula unit



# 4
A relaxed structure of InSi2Mo, computed with PBE-GGA.

The structure in CIF format:
```
data_InSi2Mo
_cell_length_a 3.431
_cell_length_b 4.192
_cell_length_c 5.139
_cell_angle_alpha 90.00
_cell_angle_beta 109.40
_cell_angle_gamma 90.00
_symmetry_space_group_name_H-M 'P 1 m 1'
_symmetry_Int_Tables_number 6
loop_
_symmetry_equiv_pos_as_xyz
'x,y,z'
'x,-y,z'
loop_
_atom_site_label
_atom_site_fract_x
_atom_site_fract_y
_atom_site_fract_z
_atom_site_occupancy
In1 0.000 0.000 0.000 1
Si1 0.305 0.500 0.611 1
Si2 0.735 0.000 0.472 1
Mo1 0.601 0.500 0.203 1
```

Properties
spin magnetization = 0.00 μB/f.u.
raw formation energy = 171 meV/atom



# 5
A relaxed structure of PuMgSb2, computed with PBE-GGA.

The structure in CIF format:
```
data_PuMgSb2
_cell_length_a 4.4801
_cell_length_b 4.4801
_cell_length_c 19.9742
_cell_angle_alpha 90.00
_cell_angle_beta 90.00
_cell_angle_gamma 120.00
_symmetry_space_group_name_H-M 'R 3 m'
_symmetry_Int_Tables_number 160
_symmetry_space_group_name_Hall 'R 3 -2"'
loop_
_atom_site_label
_atom_site_fract_x
_atom_site_fract_y
_atom_site_fract_z
_atom_site_occupancy
Pu1 0.0000 0.0000 0.0000 1
Mg1 0.0000 0.0000 0.8272 1
Sb1 0.0000 0.0000 0.4192 1
Sb2 0.0000 0.0000 0.5787 1
```

Properties
spin magnetization = 5.36 μB/f.u.
raw formation energy = -385 meV/atom



# 6
A relaxed structure of Tb3Tl2Ru, computed with PBE-GGA.

The structure in CIF format:
```
data_Tb3Tl2Ru
_cell_length_a 7.837
_cell_length_b 10.744
_cell_length_c 8.042
_cell_angle_alpha 90.00
_cell_angle_beta 99.57
_cell_angle_gamma 90.00
_symmetry_space_group_name_H-M 'C 1 2/m 1'
_symmetry_Int_Tables_number 12
loop_
_symmetry_equiv_pos_as_xyz
'x,y,z'
'-x,-y,-z'
'-x,y,-z'
'x,-y,z'
'x+1/2,y+1/2,z'
'-x+1/2,-y+1/2,-z'
'-x+1/2,y+1/2,-z'
'x+1/2,-y+1/2,z'
loop_
_atom_site_label
_atom_site_fract_x
_atom_site_fract_y
_atom_site_fract_z
_atom_site_occupancy
Tb1 0.168 0.000 0.165 1
Tb2 0.225 0.179 0.777 1
Tl1 0.000 0.000 0.500 1
Tl2 0.000 0.361 0.500 1
Tl3 0.000 0.500 0.000 1
Ru1 0.000 0.212 0.000 1
```

Properties
spin magnetization = 0.00 μB/f.u.
ΔE_f = -1.6 eV per formula unit



# 7
A relaxed structure of SrP4H, computed with PBE-GGA.

The structure in CIF format:
```
data_SrP4H
_cell_length_a 4.714
_cell_length_b 7.144
_cell_length_c 7.748
_cell_angle_alpha 85.23
_cell_angle_beta 79.73
_cell_angle_gamma 76.82
_symmetry_space_group_name_H-M 'P -1'
_symmetry_Int_Tables_number 2
loop_
_symmetry_equiv_pos_as_xyz
'x,y,z'
'-x,-y,-z'
loop_
_atom_site_label
_atom_site_fract_x
_atom_site_fract_y
_atom_site_fract_z
_atom_site_occupancy
Sr1 0.192 0.148 0.233 1
P1 0.111 0.606 0.271 1
P2 0.251 0.773 0.037 1
P3 0.292 0.184 0.619 1
P4 0.374 0.652 0.485 1
H1 0.470 0.361 0.008 1
```

Properties
VASP energy = -4.8225 eV per atom
spin magnetization = 0.00 μB/f.u.



# 8
A relaxed structure of MgMo2Pb, computed with PBE-GGA.

The structure in CIF format:
```
data_MgMo2Pb
_cell_length_a 3.576
_cell_length_b 3.576
_cell_length_c 5.882
_cell_angle_alpha 90.00
_cell_angle_beta 90.00
_cell_angle_gamma 90.00
_symmetry_space_group_name_H-M 'P 4/m m m'
_symmetry_Int_Tables_number 123
_symmetry_space_group_name_Hall '-P 4 2'
loop_
_atom_site_label
_atom_site_fract_x
_atom_site_fract_y
_atom_site_fract_z
_atom_site_occupancy
Mg1 0.000 0.000 0.000 1
Mo1 0.500 0.500 0.209 1
Pb1 0.000 0.000 0.500 1
```

Properties
spin magnetization = 0.00 μB/f.u.
ΔE_f = 2.6 eV per formula unit



Question: Which value of spin magnetization does entry 8 give?
Answer: 0.00 μB/f.u.